(1)
Ho2Ga5Rh3 | PBE | optimized geometry

Cell lengths 4.2895, 24.3926, 6.7905 Å; angles 90.00, 90.00, 90.00 degrees
Closest atoms and distances in Å follow each position.
Space group Cmc2_1 (No. 36)
Inequivalent atoms, fractional coordinates:
Ho 0.0000 0.0217 0.0000  3 Rh 2.72-2.98, 2 Ga 3.04
Ho 0.0000 0.3239 0.0689  4 Rh 2.97-3.17, 10 Ga 3.02-3.27
Ga 0.0000 0.1017 0.3643  3 Rh 2.55-2.60, 1 Ga 2.69
Ga 0.0000 0.2053 0.8838  4 Rh 2.55-2.61, 1 Ga 2.69
Ga 0.0000 0.2096 0.2803  3 Rh 2.56-2.57, 2 Ga 2.69
Ga 0.0000 0.3744 0.5149  4 Rh 2.55-2.85
Ga 0.0000 0.4480 0.1741  4 Rh 2.59-2.63
Rh 0.0000 0.1080 0.7467  6 Ga 2.55-2.85, 1 Ho 2.72
Rh 0.0000 0.2717 0.5859  7 Ga 2.55-2.61
Rh 0.0000 0.4501 0.7862  5 Ga 2.55-2.63

Calculated values
Energy of formation from the pure elements: -0.7486 eV/atom
E above lowest polymorph: 0.541 eV/f.u.


(2)
HoGa7Rh2 | PBE | optimized geometry

Cell lengths 7.6436, 13.5193, 4.1479 Å; angles 90.00, 90.00, 90.00 degrees
Closest atoms and distances in Å follow each position.
Space group Cmmm (No. 65)
Inequivalent atoms, fractional coordinates:
Ho 0.0000 0.0000 0.0000  10 Ga 3.08-3.15
Ga 0.0000 0.2279 0.0000  2 Rh 2.43
Ga 0.0000 0.5000 0.5000  2 Rh 2.41
Ga 0.1834 0.1410 0.5000  1 Rh 2.47, 2 Ga 2.77
Rh 0.0000 0.3217 0.5000  5 Ga 2.41-2.47

Calculated values
Energy of formation from the pure elements: -0.1918 eV/atom


(3)
Ho3Ga6Rh5 | PBE | optimized geometry

Cell lengths 4.2226, 12.3997, 9.3817 Å; angles 90.00, 90.00, 90.00 degrees
Closest atoms and distances in Å follow each position.
Space group Pmmn (No. 59, origin choice 2)
Inequivalent atoms, fractional coordinates:
Ho 0.2500 0.0516 0.2488  8 Ga 2.92-3.22, 6 Rh 3.02-3.26
Ho 0.2500 0.7500 0.2379  6 Rh 2.94-3.07, 2 Ga 3.27
Ga 0.2500 0.0731 0.9062  4 Rh 2.54-2.62, 1 Ga 2.74
Ga 0.2500 0.2500 0.0806  6 Rh 2.59-2.88, 2 Ga 2.74
Ga 0.2500 0.2500 0.4529  4 Rh 2.54-2.61
Ga 0.2500 0.5949 0.5203  4 Rh 2.56-2.62, 2 Ga 2.87
Rh 0.2500 0.0980 0.6342  5 Ga 2.54-2.62
Rh 0.2500 0.6336 0.9652  5 Ga 2.54-2.62, 1 Rh 2.79
Rh 0.2500 0.7500 0.7103  6 Ga 2.61-2.88, 2 Rh 2.79

Calculated values
Energy of formation from the pure elements: -0.7947 eV/atom


(4)
Ho3Ga8Rh3 | PBE | optimized geometry

Cell lengths 15.4503, 4.3429, 8.9526 Å; angles 90.00, 123.28, 90.00 degrees
Closest atoms and distances in Å follow each position.
Space group C2/m (No. 12)
Inequivalent atoms, fractional coordinates:
Ho 0.0000 0.0000 0.0000  8 Ga 3.13-3.17, 4 Rh 3.36
Ho 0.2091 0.5000 0.6988  9 Ga 2.96-3.17, 3 Rh 3.14
Ga 0.0045 0.5000 0.6789  3 Rh 2.60-2.68, 5 Ga 2.69-2.86
Ga 0.1377 0.0000 0.4230  1 Rh 2.57, 4 Ga 2.64-2.86
Ga 0.1381 0.0000 0.8435  4 Rh 2.51-2.61, 2 Ga 2.79
Ga 0.1511 0.5000 0.2681  1 Rh 2.51, 3 Ga 2.64-2.69
Rh 0.0000 0.0000 0.5000  8 Ga 2.57-2.68
Rh 0.1670 0.5000 0.0042  5 Ga 2.51-2.60

Calculated values
Energy of formation from the pure elements: -0.7149 eV/atom
E above lowest polymorph: 0.000 eV/f.u.


(5)
HoGa2Rh4 | PBE | optimized geometry

Cell lengths 6.2171, 6.2171, 6.0486 Å; angles 90.00, 90.00, 90.00 degrees
Closest atoms and distances in Å follow each position.
Space group I4/mmm (No. 139)
Inequivalent atoms, fractional coordinates:
Ho 0.0000 0.0000 0.0000  8 Rh 2.67
Ga 0.0000 0.5000 0.0000  8 Rh 2.67
Rh 0.2500 0.2500 0.2500  2 Ho 2.67, 4 Ga 2.67

Calculated values
Energy of formation from the pure elements: -0.4484 eV/atom


(6)
Ho6GaRh3 | PBE | optimized geometry

Cell lengths 10.2847, 4.3819, 11.7742 Å; angles 90.00, 111.62, 90.00 degrees
Closest atoms and distances in Å follow each position.
Space group P2_1/m (No. 11)
Inequivalent atoms, fractional coordinates:
Ho 0.0272 0.2500 0.3891  4 Rh 2.75-2.91
Ho 0.0862 0.2500 0.9224  4 Rh 2.89-2.97
Ho 0.2421 0.7500 0.3186  3 Rh 2.74-2.80, 2 Ga 2.92
Ho 0.3373 0.7500 0.8006  3 Rh 2.80-2.95, 1 Ga 3.10
Ho 0.3694 0.7500 0.1012  3 Rh 2.81-2.84, 2 Ga 3.05
Ho 0.3846 0.2500 0.5718  2 Rh 2.86, 2 Ga 3.02
Ga 0.4172 0.2500 0.2925  7 Ho 2.92-3.10, 1 Rh 2.98
Rh 0.1061 0.2500 0.1755  6 Ho 2.80-2.91, 1 Ga 2.98
Rh 0.1940 0.7500 0.5325  7 Ho 2.74-2.95
Rh 0.3872 0.2500 0.9585  6 Ho 2.80-2.97, 2 Rh 3.08

Calculated values
Energy of formation from the pure elements: -0.6338 eV/atom


(7)
Ho3Ga7Rh2 | PBE | optimized geometry

Cell lengths 4.1785, 4.1364, 13.5485 Å; angles 90.00, 98.77, 90.00 degrees
Closest atoms and distances in Å follow each position.
Space group P2/m (No. 10)
Inequivalent atoms, fractional coordinates:
Ho 0.0000 0.0000 0.0000  12 Ga 2.94-3.01
Ho 0.3192 0.5000 0.6402  10 Ga 3.16-3.39, 4 Rh 3.21-3.22
Ga 0.0807 0.5000 0.1612  2 Rh 2.48
Ga 0.2237 0.0000 0.4475  1 Rh 2.47, 2 Ga 2.52
Ga 0.4200 0.0000 0.8383  2 Rh 2.49
Ga 0.5000 0.5000 0.0000  4 Ho 2.94, 8 Ga 2.99-3.01
Rh 0.1300 0.0000 0.2628  5 Ga 2.47-2.49

Calculated values
Energy of formation from the pure elements: -0.6847 eV/atom


(8)
HoGa12Rh6 | PBE | optimized geometry

Cell lengths 11.3516, 11.3516, 8.5965 Å; angles 90.00, 90.00, 120.00 degrees
Closest atoms and distances in Å follow each position.
Space group R-3m (No. 166, hexagonal axes)
Inequivalent atoms, fractional coordinates:
Ho 0.0000 0.0000 0.0000  6 Ga 3.20
Ga 0.0000 0.3864 0.5000  4 Rh 2.51-2.57, 3 Ga 2.58-2.72
Ga 0.0883 0.1766 0.3126  4 Rh 2.54-2.81, 2 Ga 2.72
Rh 0.0493 0.5247 0.2477  8 Ga 2.51-2.81

Calculated values
Energy of formation from the pure elements: -0.5044 eV/atom


(9)
Ho3Ga4Rh4 | PBE | optimized geometry

Cell lengths 3.7041, 4.3970, 13.0415 Å; angles 80.57, 81.88, 89.95 degrees
Closest atoms and distances in Å follow each position.
Space group P-1 (No. 2)
Inequivalent atoms, fractional coordinates:
Ho 0.0000 0.0000 0.0000  4 Rh 3.06, 8 Ga 3.14-3.15
Ho 0.1465 0.6491 0.7077  6 Ga 3.07-3.12, 6 Rh 3.08-3.17
Ga 0.3067 0.8051 0.3864  5 Rh 2.47-2.54
Ga 0.4503 0.4506 0.0993  2 Rh 2.49, 1 Ga 2.53
Rh 0.2569 0.2570 0.4857  4 Ga 2.47-2.54
Rh 0.4049 0.9057 0.1912  3 Ga 2.49

Calculated values
Energy of formation from the pure elements: -0.7832 eV/atom


(10)
Ho3Ga8Rh3 | PBE | optimized geometry

Cell lengths 4.1952, 9.7866, 12.3362 Å; angles 90.00, 90.00, 90.00 degrees
Closest atoms and distances in Å follow each position.
Space group Immm (No. 71)
Inequivalent atoms, fractional coordinates:
Ho 0.0000 0.0000 0.0000  12 Ga 3.16-3.23, 4 Rh 3.43
Ho 0.0000 0.0000 0.3302  4 Rh 2.96-3.02, 8 Ga 3.04-3.15
Ga 0.0000 0.2832 0.1229  3 Rh 2.59-2.61, 3 Ga 2.65-2.69
Ga 0.0000 0.3701 0.3295  4 Ga 2.54-2.69, 1 Rh 2.55
Rh 0.0000 0.2226 0.5000  6 Ga 2.55-2.59
Rh 0.0000 0.5000 0.0000  4 Ga 2.61

Calculated values
Energy of formation from the pure elements: -0.7113 eV/atom
E above lowest polymorph: 0.050 eV/f.u.


(11)
Ho4Ga12Rh | PBE | optimized geometry

Cell lengths 8.5918, 8.5918, 8.5918 Å; angles 90.00, 90.00, 90.00 degrees
Closest atoms and distances in Å follow each position.
Space group Im-3m (No. 229)
Inequivalent atoms, fractional coordinates:
Ho 0.2500 0.2500 0.2500  12 Ga 3.04-3.06
Ga 0.0000 0.0000 0.2921  1 Rh 2.51, 4 Ga 2.79
Ga 0.0000 0.2500 0.5000  8 Ga 2.79-3.04, 4 Ho 3.04
Rh 0.0000 0.0000 0.0000  6 Ga 2.51

Calculated values
Energy of formation from the pure elements: -0.6145 eV/atom


(12)
Ho2Ga9Rh3 | PBE | optimized geometry

Cell lengths 13.0515, 7.5730, 9.5156 Å; angles 90.00, 90.00, 90.00 degrees
Closest atoms and distances in Å follow each position.
Space group Cmcm (No. 63)
Inequivalent atoms, fractional coordinates:
Ho 0.1642 0.1662 0.2500  11 Ga 3.00-3.14
Ga 0.0000 0.1262 0.7500  2 Rh 2.56, 6 Ga 2.73-2.76
Ga 0.0000 0.3329 0.0657  3 Rh 2.60-2.65, 5 Ga 2.80-2.87
Ga 0.1047 0.4432 0.7500  2 Rh 2.57, 6 Ga 2.73-2.80
Ga 0.1671 0.1677 0.5802  3 Rh 2.57-2.64, 3 Ga 2.73-2.87
Rh 0.0000 0.0000 0.0000  8 Ga 2.56-2.64
Rh 0.1716 0.5000 0.0000  8 Ga 2.57-2.65

Calculated values
Energy of formation from the pure elements: -0.7083 eV/atom


(13)
Ho2Ga5Rh | PBE | optimized geometry

Cell lengths 6.1693, 6.1693, 8.1446 Å; angles 90.00, 90.00, 90.00 degrees
Closest atoms and distances in Å follow each position.
Space group I4mm (No. 107)
Inequivalent atoms, fractional coordinates:
Ho 0.0000 0.5000 0.0000  10 Ga 2.98-3.09
Ga 0.0000 0.0000 0.4862  1 Rh 2.50
Ga 0.2145 0.2145 0.7473  1 Rh 2.55, 3 Ga 2.65-2.83
Rh 0.0000 0.0000 0.1787  5 Ga 2.50-2.55

Calculated values
Energy of formation from the pure elements: -0.5278 eV/atom


(14)
Ho2Ga4Rh | PBE | optimized geometry

Cell lengths 4.7438, 4.7438, 14.5623 Å; angles 90.00, 90.00, 90.00 degrees
Closest atoms and distances in Å follow each position.
Space group I4/mmm (No. 139)
Inequivalent atoms, fractional coordinates:
Ho 0.0000 0.0000 0.1777  1 Rh 2.59
Ga 0.0000 0.0000 0.3807  4 Ga 2.94, 1 Ho 2.96
Ga 0.0000 0.5000 0.0000  2 Rh 2.37
Rh 0.0000 0.0000 0.0000  4 Ga 2.37, 2 Ho 2.59

Calculated values
Energy of formation from the pure elements: -0.2490 eV/atom


(15)
Ho2Ga12Rh | PBE | optimized geometry

Cell lengths 6.0385, 6.0385, 15.5440 Å; angles 90.00, 90.00, 90.00 degrees
Closest atoms and distances in Å follow each position.
Space group P4/nbm (No. 125, origin choice 2)
Inequivalent atoms, fractional coordinates:
Ho 0.2500 0.7500 0.2402  14 Ga 3.11-3.45
Ga 0.0000 0.0000 0.0887  2 Rh 2.54, 3 Ga 2.66-2.76
Ga 0.0841 0.5841 0.4312  4 Ga 2.58-2.83
Ga 0.2500 0.2500 0.1911  5 Ga 2.42-2.66
Ga 0.2500 0.2500 0.3470  5 Ga 2.42-2.61
Rh 0.2500 0.7500 0.0000  8 Ga 2.54

Calculated values
Energy of formation from the pure elements: -0.3920 eV/atom


(16)
Ho4GaRh | PBE | optimized geometry

Cell lengths 13.3542, 13.3542, 13.3542 Å; angles 90.00, 90.00, 90.00 degrees
Closest atoms and distances in Å follow each position.
Space group F-43m (No. 216)
Inequivalent atoms, fractional coordinates:
Ho 0.0000 0.0000 0.1872  2 Ga 3.18, 10 Ho 3.41-3.54, 2 Rh 3.41
Ho 0.0572 0.2500 0.7500  2 Rh 2.79
Ho 0.1052 0.1052 0.3948  3 Rh 2.82
Ga 0.1676 0.1676 0.1676  3 Ga 3.11, 9 Ho 3.18-3.38
Rh 0.1063 0.1063 0.6063  6 Ho 2.79-2.82

Calculated values
Energy of formation from the pure elements: -0.5733 eV/atom
E above lowest polymorph: 0.000 eV/f.u.


(17)
Ho6GaRh5 | PBE | optimized geometry

Cell lengths 8.4028, 14.6296, 4.8557 Å; angles 90.00, 125.25, 90.00 degrees
Closest atoms and distances in Å follow each position.
Space group C2/m (No. 12)
Inequivalent atoms, fractional coordinates:
Ho 0.2416 0.0000 0.2413  6 Rh 2.94-3.00, 2 Ga 3.00-3.01
Ho 0.2463 0.1695 0.7462  7 Rh 2.95-3.00, 1 Ga 3.03
Ga 0.0000 0.5000 0.0000  8 Ho 3.00-3.03
Rh 0.0000 0.0000 0.5000  8 Ho 2.94-3.00
Rh 0.0000 0.1674 0.0000  8 Ho 2.95-2.96
Rh 0.0000 0.3346 0.5000  8 Ho 2.95-3.00

Calculated values
Energy of formation from the pure elements: -0.8343 eV/atom


| no. | N(E_F) (states/eV/atom) |
| --- | --- |
| 1 | 0.48 |
| 2 | 0.47 |
| 3 | 0.83 |
| 4 | 0.38 |
| 5 | 0.35 |
| 6 | 0.62 |
| 7 | 0.49 |
| 8 | 0.48 |
| 9 | 0.64 |
| 10 | 0.57 |
| 11 | 0.43 |
| 12 | 0.34 |
| 13 | 0.43 |
| 14 | 0.72 |
| 15 | 0.28 |
| 16 | 0.58 |
| 17 | 0.49 |